No. 1
Density functional theory data (GGA-PBE) for crystalline LaTm4As5 at its relaxed geometry.

abc: 4.130 7.144 9.237
angles: 75.10 77.08 73.20
Atoms (fractional coordinates):
Tm: 0.201 0.393 0.205
Tm: 0.598 0.205 0.600
Tm: 0.402 0.795 0.400
Tm: 0.799 0.607 0.795
As: 0.607 0.682 0.105
As: 0.393 0.318 0.895
As: 0.204 0.902 0.690
As: 0.796 0.098 0.310
As: 0.000 0.500 0.500
La: 0.000 0.000 0.000

crystal system	monoclinic
formation energy	-1.501	eV/atom
symmetry	C2/m
size of the total moment	0.00	μB per cell

***

No. 2
Density functional theory data (GGA-PBE) for crystalline LaTm2As3 at its relaxed geometry.

abc: 4.169 5.922 7.222
angles: 114.20 106.77 90.00
Atoms (fractional coordinates):
As: 0.676 0.676 0.352
As: 0.324 0.324 0.648
As: 0.000 0.000 0.000
Tm: 0.665 0.165 0.331
Tm: 0.335 0.835 0.669
La: 0.000 0.500 0.000

crystal system	orthorhombic
formation energy	-1.497	eV/atom
symmetry	Immm
size of the total moment	0.00	μB per cell

***

No. 3
Density functional theory data (GGA-PBE) for crystalline LaTmAs2 at its relaxed geometry.

abc: 4.155 4.155 7.584
angles: 74.10 74.10 60.00
Atoms (fractional coordinates):
As: 0.077 0.077 0.769
As: 0.257 0.257 0.230
La: 0.498 0.498 0.507
Tm: 0.669 0.669 0.994

crystal system	trigonal
formation energy	-1.404	eV/atom
symmetry	R3m
size of the total moment	0.00	μB per cell